Density functional theory data (PBE) for a relaxed ZnCu crystal.

Cell and atoms, written as POSCAR:
```
ZnCu
1.0
4.266 0.000 0.000
0.000 10.498 0.000
0.000 0.000 4.558
Zn Cu
8 8
direct
0.250 0.115 0.162
0.250 0.250 0.671
0.250 0.385 0.162
0.250 0.750 0.669
0.750 0.250 0.331
0.750 0.615 0.838
0.750 0.750 0.329
0.750 0.885 0.838
0.250 0.000 0.664
0.250 0.500 0.664
0.250 0.627 0.168
0.250 0.873 0.168
0.750 0.000 0.336
0.750 0.127 0.832
0.750 0.373 0.832
0.750 0.500 0.336
```

The space-group type is Pmmn (59). The formation energy comes out at -0.072 eV/atom. Its calculated volume is 204.1 Å³/cell. As for the calculated density: 8.393 Mg/m³.